Entry 1:
## Co5Os (PBE)

Data for a relaxed Co5Os crystal.

The calculation puts the total magnetization at 5.47 μB per formula unit. As for the theoretical density: 11.9 g/cm³. The value obtained for the energy above the most stable polymorph in this dataset is 56.3 meV per atom. The calculation puts the energy of formation from the pure elements at 0.1353 eV/atom.

The space group is Cmmm (No. 65) and the conventional cell measures 3.566, 10.642 and 3.564 Å, with angles of 90.00, 90.00 and 90.00 degrees. The distinct sites, in fractional coordinates, are Co at (0.000, 0.000, 0.000), Co at (0.000, 0.168, 0.500), Co at (0.000, 0.331, 0.000) and Os at (0.000, 0.500, 0.500).

=====

Entry 2:
## Co3Os5 (PBE)

Data for a relaxed Co3Os5 crystal.

The calculation puts the total magnetization at 0.00 μB per formula unit. As for the theoretical density: 17.9 g/cm³. The value obtained for the energy above the most stable polymorph in this dataset is 0.0 meV per atom. The calculation puts the energy of formation from the pure elements at 0.2791 eV/atom.

The space group is C2/m (No. 12) and the conventional cell measures 4.615, 13.165 and 7.224 Å, with angles of 90.00, 107.59 and 90.00 degrees. The distinct sites, in fractional coordinates, are Co at (0.000, 0.163, 0.000), Co at (0.000, 0.257, 0.500), Co at (0.102, 0.500, 0.348), Os at (0.090, 0.322, 0.194), Os at (0.132, 0.100, 0.351) and Os at (0.227, 0.000, 0.943).

=====

Entry 3:
## Co2Os3 (PBE)

Data for a relaxed Co2Os3 crystal.

The calculation puts the total magnetization at 2.66 μB per formula unit. As for the theoretical density: 17.3 g/cm³. The calculation puts the energy of formation from the pure elements at 0.2076 eV/atom.

The space group is R-3m (No. 166, hexagonal axes) and the conventional cell measures 2.6756, 2.6756 and 31.9058 Å, with angles of 90.00, 90.00 and 120.00 degrees. The distinct sites, in fractional coordinates, are Co at (0.0000, 0.0000, 0.1009), Os at (0.0000, 0.0000, 0.2987) and Os at (0.0000, 0.0000, 0.5000).

=====

Entry 4:
## Co8Os (PBE)

Data for a relaxed Co8Os crystal.

The calculation puts the total magnetization at 11.90 μB per formula unit. As for the theoretical density: 10.9 g/cm³. The calculation puts the energy of formation from the pure elements at 0.1102 eV/atom.

The space group is I4/mmm (No. 139) and the conventional cell measures 7.555, 7.555 and 3.549 Å, with angles of 90.00, 90.00 and 90.00 degrees. The distinct sites, in fractional coordinates, are Co at (0.000, 0.337, 0.000), Co at (0.169, 0.169, 0.500) and Os at (0.000, 0.000, 0.000).

=====

Entry 5:
## Co2Os (PBE)

Data for a relaxed Co2Os crystal.

The calculation puts the total magnetization at 2.60 μB per formula unit. As for the theoretical density: 14.0 g/cm³. The value obtained for the energy above the most stable polymorph in this dataset is 251.4 meV per atom. The calculation puts the energy of formation from the pure elements at 0.3464 eV/atom.

The space group is P6_3/mmc (No. 194) and the conventional cell measures 4.0934, 4.0934 and 5.0467 Å, with angles of 90.00, 90.00 and 120.00 degrees. The distinct sites, in fractional coordinates, are Co at (0.0000, 0.0000, 0.0000), Co at (0.3333, 0.6667, 0.2500) and Os at (0.3333, 0.6667, 0.7500).

=====

Entry 6:
## Co4Os (PBE)

Data for a relaxed Co4Os crystal.

The calculation puts the total magnetization at 6.34 μB per formula unit. As for the theoretical density: 11.5 g/cm³. The value obtained for the energy above the most stable polymorph in this dataset is 482.8 meV per atom. The calculation puts the energy of formation from the pure elements at 0.5888 eV/atom.

The space group is I4/mmm (No. 139) and the conventional cell measures 3.339, 3.339 and 10.986 Å, with angles of 90.00, 90.00 and 90.00 degrees. The distinct sites, in fractional coordinates, are Co at (0.000, 0.000, 0.100), Co at (0.000, 0.500, 0.250) and Os at (0.000, 0.000, 0.500).

=====

Entry 7:
## Co5Os (PBE)

Data for a relaxed Co5Os crystal.

The calculation puts the total magnetization at 10.32 μB per formula unit. As for the theoretical density: 11.3 g/cm³. The value obtained for the energy above the most stable polymorph in this dataset is 171.3 meV per atom. The calculation puts the energy of formation from the pure elements at 0.2503 eV/atom.

The space group is F-43m (No. 216) and the conventional cell measures 6.581, 6.581 and 6.581 Å, with angles of 90.00, 90.00 and 90.00 degrees. The distinct sites, in fractional coordinates, are Co at (0.000, 0.000, 0.000), Co at (0.125, 0.125, 0.375) and Os at (0.250, 0.250, 0.750).

=====

Entry 8:
## Co2Os (PBE)

Data for a relaxed Co2Os crystal.

The calculation puts the total magnetization at 2.21 μB per formula unit. As for the theoretical density: 14.2 g/cm³. The value obtained for the energy above the most stable polymorph in this dataset is 21.6 meV per atom. The calculation puts the energy of formation from the pure elements at 0.1166 eV/atom.

The space group is C2/m (No. 12) and the conventional cell measures 9.306, 2.638 and 6.068 Å, with angles of 90.00, 104.71 and 90.00 degrees. The distinct sites, in fractional coordinates, are Co at (0.028, 0.000, 0.299), Co at (0.138, 0.500, 0.029) and Os at (0.192, 0.500, 0.644).

=====

Entry 9:
## Co5Os (PBE)

Data for a relaxed Co5Os crystal.

The calculation puts the total magnetization at 9.48 μB per formula unit. As for the theoretical density: 11.0 g/cm³. The value obtained for the energy above the most stable polymorph in this dataset is 362.3 meV per atom. The calculation puts the energy of formation from the pure elements at 0.4413 eV/atom.

The space group is P6/mmm (No. 191) and the conventional cell measures 4.5749, 4.5749 and 4.0384 Å, with angles of 90.00, 90.00 and 120.00 degrees. The distinct sites, in fractional coordinates, are Co at (0.0000, 0.5000, 0.0000), Co at (0.3333, 0.6667, 0.5000) and Os at (0.0000, 0.0000, 0.5000).

=====

Entry 10:
## Co3Os5 (PBE)

Data for a relaxed Co3Os5 crystal.

The calculation puts the total magnetization at 2.37 μB per formula unit. As for the theoretical density: 17.7 g/cm³. The value obtained for the energy above the most stable polymorph in this dataset is 185.0 meV per atom. The calculation puts the energy of formation from the pure elements at 0.4641 eV/atom.

The space group is P6_3/mcm (No. 193) and the conventional cell measures 7.1461, 7.1461 and 4.7869 Å, with angles of 90.00, 90.00 and 120.00 degrees. The distinct sites, in fractional coordinates, are Co at (0.0000, 0.4069, 0.2500), Os at (0.0000, 0.2204, 0.7500) and Os at (0.3333, 0.6667, 0.0000).

=====

Entry 11:
## Co2Os (PBE)

Data for a relaxed Co2Os crystal.

The calculation puts the total magnetization at 0.91 μB per formula unit. As for the theoretical density: 14.2 g/cm³. The value obtained for the energy above the most stable polymorph in this dataset is 116.3 meV per atom. The calculation puts the energy of formation from the pure elements at 0.2113 eV/atom.

The space group is P-62m (No. 189) and the conventional cell measures 6.9731, 6.9731 and 2.5738 Å, with angles of 90.00, 90.00 and 120.00 degrees. The distinct sites, in fractional coordinates, are Co at (0.0000, 0.3024, 0.0000), Co at (0.0000, 0.6384, 0.5000), Os at (0.0000, 0.0000, 0.5000) and Os at (0.3333, 0.6667, 0.0000).

=====

Entry 12:
## Co2Os (PBE)

Data for a relaxed Co2Os crystal.

The calculation puts the total magnetization at 0.81 μB per formula unit. As for the theoretical density: 14.5 g/cm³. The value obtained for the energy above the most stable polymorph in this dataset is 0.0 meV per atom. The calculation puts the energy of formation from the pure elements at 0.0950 eV/atom.

The space group is Cmcm (No. 63) and the conventional cell measures 2.601, 13.306 and 4.077 Å, with angles of 90.00, 90.00 and 90.00 degrees. The distinct sites, in fractional coordinates, are Co at (0.000, 0.054, 0.250), Co at (0.000, 0.277, 0.750) and Os at (0.000, 0.387, 0.250).

=====

Entry 13:
## Co2Os (PBE)

Data for a relaxed Co2Os crystal.

The calculation puts the total magnetization at 2.92 μB per formula unit. As for the theoretical density: 12.7 g/cm³. The value obtained for the energy above the most stable polymorph in this dataset is 455.6 meV per atom. The calculation puts the energy of formation from the pure elements at 0.5507 eV/atom.

The space group is I4/mcm (No. 140) and the conventional cell measures 5.761, 5.761 and 4.843 Å, with angles of 90.00, 90.00 and 90.00 degrees. The distinct sites, in fractional coordinates, are Co at (0.138, 0.362, 0.000) and Os at (0.000, 0.000, 0.250).

=====

Entry 14:
## Co4Os (PBE)

Data for a relaxed Co4Os crystal.

The calculation puts the total magnetization at 6.55 μB per formula unit. As for the theoretical density: 11.9 g/cm³. The value obtained for the energy above the most stable polymorph in this dataset is 27.2 meV per atom. The calculation puts the energy of formation from the pure elements at 0.1333 eV/atom.

The space group is R-3m (No. 166, hexagonal axes) and the conventional cell measures 2.5868, 2.5868 and 30.7800 Å, with angles of 90.00, 90.00 and 120.00 degrees. The distinct sites, in fractional coordinates, are Co at (0.0000, 0.0000, 0.0967), Co at (0.0000, 0.0000, 0.3009) and Os at (0.0000, 0.0000, 0.5000).

=====

Entry 15:
## Co2Os (PBE)

Data for a relaxed Co2Os crystal.

The calculation puts the total magnetization at 0.68 μB per formula unit. As for the theoretical density: 13.4 g/cm³. The value obtained for the energy above the most stable polymorph in this dataset is 296.1 meV per atom. The calculation puts the energy of formation from the pure elements at 0.3911 eV/atom.

The space group is Imma (No. 74) and the conventional cell measures 2.542, 3.836 and 15.679 Å, with angles of 90.00, 90.00 and 90.00 degrees. The distinct sites, in fractional coordinates, are Co at (0.000, 0.250, 0.039), Co at (0.000, 0.250, 0.188) and Os at (0.000, 0.250, 0.608).

=====

Entry 16:
## Co4Os3 (PBE)

Data for a relaxed Co4Os3 crystal.

The calculation puts the total magnetization at 4.34 μB per formula unit. As for the theoretical density: 15.5 g/cm³. The calculation puts the energy of formation from the pure elements at 0.1795 eV/atom.

The space group is I4/mmm (No. 139) and the conventional cell measures 2.651, 2.651 and 24.628 Å, with angles of 90.00, 90.00 and 90.00 degrees. The distinct sites, in fractional coordinates, are Co at (0.000, 0.000, 0.072), Co at (0.000, 0.000, 0.362), Os at (0.000, 0.000, 0.211) and Os at (0.000, 0.000, 0.500).

=====

Entry 17:
## Co2POs (PBE)

Data for a relaxed Co2POs crystal.

The calculation puts the total magnetization at 0.00 μB per formula unit. As for the theoretical density: 12.2 g/cm³. The calculation puts the energy of formation from the pure elements at 0.0826 eV/atom.

The space group is P4/mmm (No. 123) and the conventional cell measures 3.547, 3.547 and 3.675 Å, with angles of 90.00, 90.00 and 90.00 degrees. The distinct sites, in fractional coordinates, are Co at (0.000, 0.500, 0.000), P at (0.000, 0.000, 0.500) and Os at (0.500, 0.500, 0.500).

=====

Entry 18:
## CoP2Os (PBE)

Data for a relaxed CoP2Os crystal.

The calculation puts the total magnetization at 0.43 μB per formula unit. As for the theoretical density: 9.8 g/cm³. The value obtained for the energy above the most stable polymorph in this dataset is 310.2 meV per atom. The calculation puts the energy of formation from the pure elements at 0.0198 eV/atom.

The space group is R3m (No. 160, hexagonal axes) and the conventional cell measures 2.9304, 2.9304 and 21.2535 Å, with angles of 90.00, 90.00 and 120.00 degrees. The distinct sites, in fractional coordinates, are Co at (0.0000, 0.0000, 0.0000), P at (0.0000, 0.0000, 0.2693), P at (0.0000, 0.0000, 0.5134) and Os at (0.0000, 0.0000, 0.7709).

=====

Entry 19:
## Co2POs (PBE)

Data for a relaxed Co2POs crystal.

The calculation puts the total magnetization at 2.18 μB per formula unit. As for the theoretical density: 12.1 g/cm³. The calculation puts the energy of formation from the pure elements at -0.0499 eV/atom.

The space group is Immm (No. 71) and the conventional cell measures 2.753, 4.113 and 8.225 Å, with angles of 90.00, 90.00 and 90.00 degrees. The distinct sites, in fractional coordinates, are Co at (0.000, 0.000, 0.218), P at (0.000, 0.500, 0.500) and Os at (0.000, 0.500, 0.000).

=====

Entry 20:
## Co2POs (PBE)

Data for a relaxed Co2POs crystal.

The calculation puts the total magnetization at 1.03 μB per formula unit. As for the theoretical density: 12.2 g/cm³. The calculation puts the energy of formation from the pure elements at 0.0599 eV/atom.

The space group is I-4m2 (No. 119) and the conventional cell measures 3.721, 3.721 and 6.676 Å, with angles of 90.00, 90.00 and 90.00 degrees. The distinct sites, in fractional coordinates, are Co at (0.000, 0.000, 0.000), Co at (0.000, 0.500, 0.250), P at (0.000, 0.000, 0.500) and Os at (0.000, 0.500, 0.750).